# PBE-GGA As3PdBr, optimized geometry
# Final energy ... -14.07 eV/cell
# Calculated volume ... 25.13 Å³ per atom
# E_form (uncorrected) ... 1.3498 eV per atom
# Magnetic moment ... 0.0 μB per formula unit
data_As3PdBr
_symmetry_space_group_name_H-M 'P m -3 m'
_symmetry_Int_Tables_number 221
_symmetry_space_group_name_Hall '-P 4 2 3'
_cell_length_a 5.0088
_cell_length_b 5.0088
_cell_length_c 5.0088
_cell_angle_alpha 90.00
_cell_angle_beta 90.00
_cell_angle_gamma 90.00
loop_
_atom_site_label
_atom_site_type_symbol
_atom_site_fract_x
_atom_site_fract_y
_atom_site_fract_z
_atom_site_occupancy
As1 As 0.0000 0.0000 0.5000 1
Pd1 Pd 0.5000 0.5000 0.5000 1
Br1 Br 0.0000 0.0000 0.0000 1

# PBE-GGA HfSnP3, optimized geometry
# Formation energy ... 1.0431 eV/atom
# Final energy ... -24.97 eV/cell
# Calculated volume ... 23.26 Å³ per atom
# Magnetic moment ... 0.0 μB per formula unit
data_HfSnP3
_symmetry_space_group_name_H-M 'P m -3 m'
_symmetry_Int_Tables_number 221
_symmetry_space_group_name_Hall '-P 4 2 3'
_cell_length_a 4.8810
_cell_length_b 4.8810
_cell_length_c 4.8810
_cell_angle_alpha 90.00
_cell_angle_beta 90.00
_cell_angle_gamma 90.00
loop_
_atom_site_label
_atom_site_type_symbol
_atom_site_fract_x
_atom_site_fract_y
_atom_site_fract_z
_atom_site_occupancy
Hf1 Hf 0.0000 0.0000 0.0000 1
Sn1 Sn 0.5000 0.5000 0.5000 1
P1 P 0.0000 0.5000 0.5000 1

# PBE-GGA HoRuI, optimized geometry
# Final energy ... -60.72 eV/cell
# Calculated volume ... 28.32 Å³ per atom
# E_form (uncorrected) ... 0.0742 eV per atom
# Magnetic moment ... 0.3 μB per formula unit
data_HoRuI
_symmetry_space_group_name_H-M 'C 1 2/m 1'
_symmetry_Int_Tables_number 12
_cell_length_a 6.5900
_cell_length_b 3.8081
_cell_length_c 13.7206
_cell_angle_alpha 90.00
_cell_angle_beta 99.29
_cell_angle_gamma 90.00
loop_
_symmetry_equiv_pos_as_xyz
'x,y,z'
'-x,-y,-z'
'-x,y,-z'
'x,-y,z'
'x+1/2,y+1/2,z'
'-x+1/2,-y+1/2,-z'
'-x+1/2,y+1/2,-z'
'x+1/2,-y+1/2,z'
loop_
_atom_site_label
_atom_site_type_symbol
_atom_site_fract_x
_atom_site_fract_y
_atom_site_fract_z
_atom_site_occupancy
Ho1 Ho 0.2005 0.0000 0.1000 1
Ru1 Ru 0.1553 0.5000 0.4662 1
I1 I 0.0887 0.5000 0.2629 1

# PBE-GGA TlCrRe2, optimized geometry
# Formation energy ... 0.8567 eV/atom
# Final energy ... -133.84 eV/cell
# Calculated volume ... 16.13 Å³ per atom
# Magnetic moment ... 2.0 μB per formula unit
data_TlCrRe2
_symmetry_space_group_name_H-M 'F -4 3 m'
_symmetry_Int_Tables_number 216
_symmetry_space_group_name_Hall 'F -4 2 3'
_cell_length_a 6.3667
_cell_length_b 6.3667
_cell_length_c 6.3667
_cell_angle_alpha 90.00
_cell_angle_beta 90.00
_cell_angle_gamma 90.00
loop_
_atom_site_label
_atom_site_type_symbol
_atom_site_fract_x
_atom_site_fract_y
_atom_site_fract_z
_atom_site_occupancy
Tl1 Tl 0.0000 0.0000 0.0000 1
Cr1 Cr 0.2500 0.2500 0.7500 1
Re1 Re 0.0000 0.0000 0.5000 1
Re2 Re 0.2500 0.2500 0.2500 1

# PBE-GGA KMn5, optimized geometry
# Formation energy ... 0.9748 eV/atom
# Final energy ... -82.19 eV/cell
# Calculated volume ... 15.13 Å³ per atom
# Magnetic moment ... 0.9 μB per formula unit
data_KMn5
_symmetry_space_group_name_H-M 'C m m m'
_symmetry_Int_Tables_number 65
_symmetry_space_group_name_Hall '-C 2 2'
_cell_length_a 3.9877
_cell_length_b 11.2984
_cell_length_c 4.0310
_cell_angle_alpha 90.00
_cell_angle_beta 90.00
_cell_angle_gamma 90.00
loop_
_atom_site_label
_atom_site_type_symbol
_atom_site_fract_x
_atom_site_fract_y
_atom_site_fract_z
_atom_site_occupancy
K1 K 0.0000 0.0000 0.0000 1
Mn1 Mn 0.0000 0.2024 0.5000 1
Mn2 Mn 0.0000 0.2979 0.0000 1
Mn3 Mn 0.0000 0.5000 0.5000 1

# PBE-GGA Mn2Br3, optimized geometry
# Final energy ... -203.81 eV/cell
# Calculated volume ... 26.21 Å³ per atom
# E_form (uncorrected) ... -0.4236 eV per atom
# Magnetic moment ... 9.0 μB per formula unit
data_Mn2Br3
_symmetry_space_group_name_H-M 'F d d 2'
_symmetry_Int_Tables_number 43
_symmetry_space_group_name_Hall 'F 2 -2d'
_cell_length_a 11.3879
_cell_length_b 11.6954
_cell_length_c 7.8714
_cell_angle_alpha 90.00
_cell_angle_beta 90.00
_cell_angle_gamma 90.00
loop_
_atom_site_label
_atom_site_type_symbol
_atom_site_fract_x
_atom_site_fract_y
_atom_site_fract_z
_atom_site_occupancy
Mn1 Mn 0.1156 0.0334 0.0000 1
Br1 Br 0.0000 0.0000 0.7119 1
Br2 Br 0.0596 0.3100 0.5701 1

# PBE-GGA Ce2HoGeN5, optimized geometry
# Final energy ... -286.80 eV/cell
# Calculated volume ... 14.01 Å³ per atom
# E_form (uncorrected) ... -1.0010 eV per atom
# Magnetic moment ... 0.0 μB per formula unit
data_Ce2HoGeN5
_symmetry_space_group_name_H-M 'C m c 21'
_symmetry_Int_Tables_number 36
_cell_length_a 3.3427
_cell_length_b 15.6405
_cell_length_c 9.6483
_cell_angle_alpha 90.00
_cell_angle_beta 90.00
_cell_angle_gamma 90.00
loop_
_symmetry_equiv_pos_as_xyz
'x,y,z'
'-x,-y,z+1/2'
'-x,y,z'
'x,-y,z+1/2'
'x+1/2,y+1/2,z'
'-x+1/2,-y+1/2,z+1/2'
'-x+1/2,y+1/2,z'
'x+1/2,-y+1/2,z+1/2'
loop_
_atom_site_label
_atom_site_type_symbol
_atom_site_fract_x
_atom_site_fract_y
_atom_site_fract_z
_atom_site_occupancy
Ce1 Ce 0.0000 0.1054 0.0000 1
Ce2 Ce 0.0000 0.1150 0.6189 1
Ho1 Ho 0.0000 0.2154 0.3272 1
Ge1 Ge 0.0000 0.4489 0.7759 1
N1 N 0.0000 0.0399 0.3735 1
N2 N 0.0000 0.3079 0.0042 1
N3 N 0.0000 0.3393 0.6844 1
N4 N 0.0000 0.3601 0.3422 1
N5 N 0.0000 0.4936 0.1062 1

# PBE-GGA Ho2Tl3SbS6, optimized geometry
# Final energy ... -116.76 eV/cell
# Calculated volume ... 26.32 Å³ per atom
# E_form (uncorrected) ... -1.1032 eV per atom
# Magnetic moment ... 0.0 μB per formula unit
data_Ho2Tl3SbS6
_symmetry_space_group_name_H-M 'C 1 2/m 1'
_symmetry_Int_Tables_number 12
_cell_length_a 6.9825
_cell_length_b 12.0956
_cell_length_c 7.8322
_cell_angle_alpha 90.00
_cell_angle_beta 107.28
_cell_angle_gamma 90.00
loop_
_symmetry_equiv_pos_as_xyz
'x,y,z'
'-x,-y,-z'
'-x,y,-z'
'x,-y,z'
'x+1/2,y+1/2,z'
'-x+1/2,-y+1/2,-z'
'-x+1/2,y+1/2,-z'
'x+1/2,-y+1/2,z'
loop_
_atom_site_label
_atom_site_type_symbol
_atom_site_fract_x
_atom_site_fract_y
_atom_site_fract_z
_atom_site_occupancy
Ho1 Ho 0.0000 0.1667 0.0000 1
Tl1 Tl 0.0000 0.0000 0.5000 1
Tl2 Tl 0.0000 0.3328 0.5000 1
Sb1 Sb 0.0000 0.5000 0.0000 1
S1 S 0.2301 0.0000 0.1983 1
S2 S 0.2337 0.3321 0.1976 1

# PBE-GGA HfTi2Co, optimized geometry
# Formation energy ... 0.0979 eV/atom
# Final energy ... -97.37 eV/cell
# Calculated volume ... 17.68 Å³ per atom
# Magnetic moment ... 0.0 μB per formula unit
data_HfTi2Co
_symmetry_space_group_name_H-M 'R 3 m'
_symmetry_Int_Tables_number 160
_symmetry_space_group_name_Hall 'R 3 -2"'
_cell_length_a 4.0178
_cell_length_b 4.0178
_cell_length_c 15.1771
_cell_angle_alpha 90.00
_cell_angle_beta 90.00
_cell_angle_gamma 120.00
loop_
_atom_site_label
_atom_site_type_symbol
_atom_site_fract_x
_atom_site_fract_y
_atom_site_fract_z
_atom_site_occupancy
Hf1 Hf 0.0000 0.0000 0.0000 1
Ti1 Ti 0.0000 0.0000 0.2133 1
Ti2 Ti 0.0000 0.0000 0.4416 1
Co1 Co 0.0000 0.0000 0.8111 1

# PBE-GGA Al2SbIr, optimized geometry
# Final energy ... -20.30 eV/cell
# Calculated volume ... 17.38 Å³ per atom
# E_form (uncorrected) ... 0.0433 eV per atom
# Magnetic moment ... 0.0 μB per formula unit
data_Al2SbIr
_symmetry_space_group_name_H-M 'P 4/m m m'
_symmetry_Int_Tables_number 123
_symmetry_space_group_name_Hall '-P 4 2'
_cell_length_a 4.2664
_cell_length_b 4.2664
_cell_length_c 3.8195
_cell_angle_alpha 90.00
_cell_angle_beta 90.00
_cell_angle_gamma 90.00
loop_
_atom_site_label
_atom_site_type_symbol
_atom_site_fract_x
_atom_site_fract_y
_atom_site_fract_z
_atom_site_occupancy
Al1 Al 0.0000 0.5000 0.0000 1
Sb1 Sb 0.0000 0.0000 0.5000 1
Ir1 Ir 0.5000 0.5000 0.5000 1

# PBE-GGA GeIr2O, optimized geometry
# Final energy ... -104.35 eV/cell
# Calculated volume ... 12.89 Å³ per atom
# E_form (uncorrected) ... 0.3026 eV per atom
# Magnetic moment ... 0.0 μB per formula unit
data_GeIr2O
_symmetry_space_group_name_H-M 'F m -3 m'
_symmetry_Int_Tables_number 225
_symmetry_space_group_name_Hall '-F 4 2 3'
_cell_length_a 5.9078
_cell_length_b 5.9078
_cell_length_c 5.9078
_cell_angle_alpha 90.00
_cell_angle_beta 90.00
_cell_angle_gamma 90.00
loop_
_atom_site_label
_atom_site_type_symbol
_atom_site_fract_x
_atom_site_fract_y
_atom_site_fract_z
_atom_site_occupancy
Ge1 Ge 0.0000 0.0000 0.0000 1
Ir1 Ir 0.2500 0.2500 0.2500 1
O1 O 0.0000 0.0000 0.5000 1

# PBE-GGA NaLiAuO2, optimized geometry
# Final energy ... -84.39 eV/cell
# Calculated volume ... 14.80 Å³ per atom
# E_form (uncorrected) ... -0.9343 eV per atom
# Magnetic moment ... 0.4 μB per formula unit
data_NaLiAuO2
_symmetry_space_group_name_H-M 'C m m e'
_symmetry_Int_Tables_number 67
_symmetry_space_group_name_Hall '-C 2a 2'
_cell_length_a 5.2661
_cell_length_b 10.6832
_cell_length_c 5.2605
_cell_angle_alpha 90.00
_cell_angle_beta 90.00
_cell_angle_gamma 90.00
loop_
_atom_site_label
_atom_site_type_symbol
_atom_site_fract_x
_atom_site_fract_y
_atom_site_fract_z
_atom_site_occupancy
Na1 Na 0.0000 0.2500 0.1502 1
Li1 Li 0.2500 0.0000 0.0000 1
Au1 Au 0.0000 0.0000 0.5000 1
O1 O 0.0000 0.1033 0.8176 1

> What is the calculated volume in the third record?

28.32 Å³ per atom